Record 1
# YBe2F | Alexandria via LeMat-Bulk | GGA-PBE | optimized geometry
data_YBe2F
_cell_length_a 5.689
_cell_length_b 5.689
_cell_length_c 8.014
_cell_angle_alpha 90.00
_cell_angle_beta 90.00
_cell_angle_gamma 90.00
_space_group_name_H-M_alt 'I -4 2 d'
_space_group_IT_number 122
_space_group_name_Hall 'I -4 2bw'
loop_
_atom_site_label
_atom_site_type_symbol
_atom_site_fract_x
_atom_site_fract_y
_atom_site_fract_z
_atom_site_occupancy
Y1 Y 0.000 0.000 0.000 1
Be1 Be 0.039 0.750 0.625 1
F1 F 0.000 0.000 0.500 1
# Size of the total moment = 0.00 μB per atom
# Formation energy (no corrections) = -0.21 eV/atom
# Volume = 16.208 Å³ per atom
# Density of states at the Fermi level = 0.656 states/eV per atom
# Distance to the lowest polymorph of the same formula = 0 meV per atom



Record 2
# YBeF3 | Alexandria via LeMat-Bulk | GGA-PBE | optimized geometry
data_YBeF3
_cell_length_a 3.910
_cell_length_b 3.910
_cell_length_c 3.910
_cell_angle_alpha 90.00
_cell_angle_beta 90.00
_cell_angle_gamma 90.00
_space_group_name_H-M_alt 'P m -3 m'
_space_group_IT_number 221
_space_group_name_Hall '-P 4 2 3'
loop_
_atom_site_label
_atom_site_type_symbol
_atom_site_fract_x
_atom_site_fract_y
_atom_site_fract_z
_atom_site_occupancy
Y1 Y 0.000 0.000 0.000 1
Be1 Be 0.500 0.500 0.500 1
F1 F 0.000 0.500 0.500 1
# Size of the total moment = 0.28 μB per atom
# Formation energy (no corrections) = -2.05 eV/atom
# Volume = 11.951 Å³ per atom
# Density of states at the Fermi level = 0.700 states/eV per atom
# Distance to the lowest polymorph of the same formula = 443 meV per atom



Record 3
# YBe2F | Alexandria via LeMat-Bulk | GGA-PBE | optimized geometry
data_YBe2F
_cell_length_a 6.380
_cell_length_b 6.380
_cell_length_c 6.380
_cell_angle_alpha 90.00
_cell_angle_beta 90.00
_cell_angle_gamma 90.00
_space_group_name_H-M_alt 'F m -3 m'
_space_group_IT_number 225
_space_group_name_Hall '-F 4 2 3'
loop_
_atom_site_label
_atom_site_type_symbol
_atom_site_fract_x
_atom_site_fract_y
_atom_site_fract_z
_atom_site_occupancy
Y1 Y 0.000 0.000 0.000 1
Be1 Be 0.250 0.250 0.250 1
F1 F 0.000 0.000 0.500 1
# Size of the total moment = 0.00 μB per atom
# Formation energy (no corrections) = 0.28 eV/atom
# Volume = 16.231 Å³ per atom
# Density of states at the Fermi level = 1.074 states/eV per atom
# Distance to the lowest polymorph of the same formula = 486 meV per atom



Record 4
# YBeF5 | Alexandria via LeMat-Bulk | GGA-PBE | optimized geometry
data_YBeF5
_cell_length_a 8.118
_cell_length_b 7.844
_cell_length_c 8.160
_cell_angle_alpha 90.00
_cell_angle_beta 118.08
_cell_angle_gamma 90.00
_space_group_name_H-M_alt 'C 1 2/c 1'
_space_group_IT_number 15
loop_
_space_group_symop_operation_xyz
'x,y,z'
'-x,-y,-z'
'-x,y,-z+1/2'
'x,-y,z+1/2'
'x+1/2,y+1/2,z'
'-x+1/2,-y+1/2,-z'
'-x+1/2,y+1/2,-z+1/2'
'x+1/2,-y+1/2,z+1/2'
loop_
_atom_site_label
_atom_site_type_symbol
_atom_site_fract_x
_atom_site_fract_y
_atom_site_fract_z
_atom_site_occupancy
Y1 Y 0.250 0.250 0.000 1
Be1 Be 0.000 0.128 0.250 1
F1 F 0.000 0.333 0.750 1
F2 F 0.089 0.239 0.154 1
F3 F 0.155 0.010 0.400 1
# Size of the total moment = 0.00 μB per atom
# Formation energy (no corrections) = -3.74 eV/atom
# Volume = 16.370 Å³ per atom
# Density of states at the Fermi level = 0.000 states/eV per atom



Record 5
# YBeF3 | Alexandria via LeMat-Bulk | GGA-PBE | optimized geometry
data_YBeF3
_cell_length_a 4.458
_cell_length_b 4.458
_cell_length_c 4.458
_cell_angle_alpha 90.00
_cell_angle_beta 90.00
_cell_angle_gamma 90.00
_space_group_name_H-M_alt 'P m -3 m'
_space_group_IT_number 221
_space_group_name_Hall '-P 4 2 3'
loop_
_atom_site_label
_atom_site_type_symbol
_atom_site_fract_x
_atom_site_fract_y
_atom_site_fract_z
_atom_site_occupancy
Y1 Y 0.000 0.000 0.000 1
Be1 Be 0.500 0.500 0.500 1
F1 F 0.000 0.000 0.500 1
# Size of the total moment = 0.00 μB per atom
# Formation energy (no corrections) = -2.49 eV/atom
# Volume = 17.725 Å³ per atom
# Density of states at the Fermi level = 0.000 states/eV per atom
# Distance to the lowest polymorph of the same formula = 0 meV per atom



Record 6
# YbBeF4 | Alexandria via LeMat-Bulk | GGA-PBE | optimized geometry
data_YbBeF4
_cell_length_a 6.474
_cell_length_b 6.975
_cell_length_c 8.127
_cell_angle_alpha 90.00
_cell_angle_beta 126.29
_cell_angle_gamma 90.00
_space_group_name_H-M_alt 'P 1 21/c 1'
_space_group_IT_number 14
loop_
_space_group_symop_operation_xyz
'x,y,z'
'-x,-y,-z'
'-x,y+1/2,-z+1/2'
'x,-y+1/2,z+1/2'
loop_
_atom_site_label
_atom_site_type_symbol
_atom_site_fract_x
_atom_site_fract_y
_atom_site_fract_z
_atom_site_occupancy
Yb1 Yb 0.187 0.155 0.279 1
Be1 Be 0.309 0.660 0.198 1
F1 F 0.121 0.663 0.613 1
F2 F 0.179 0.504 0.247 1
F3 F 0.340 0.599 0.028 1
F4 F 0.410 0.208 0.119 1
# Size of the total moment = 0.04 μB per atom
# Formation energy (no corrections) = -3.51 eV/atom
# Volume = 12.325 Å³ per atom
# Density of states at the Fermi level = 4.395 states/eV per atom
# Distance to the lowest polymorph of the same formula = 0 meV per atom



Record 7
# YbBeF4 | Alexandria via LeMat-Bulk | GGA-PBE | optimized geometry
data_YbBeF4
_cell_length_a 8.052
_cell_length_b 4.433
_cell_length_c 11.746
_cell_angle_alpha 90.00
_cell_angle_beta 130.80
_cell_angle_gamma 90.00
_space_group_name_H-M_alt 'P 1 21/c 1'
_space_group_IT_number 14
loop_
_space_group_symop_operation_xyz
'x,y,z'
'-x,-y,-z'
'-x,y+1/2,-z+1/2'
'x,-y+1/2,z+1/2'
loop_
_atom_site_label
_atom_site_type_symbol
_atom_site_fract_x
_atom_site_fract_y
_atom_site_fract_z
_atom_site_occupancy
Yb1 Yb 0.174 0.050 0.420 1
Be1 Be 0.400 0.125 0.765 1
F1 F 0.072 0.551 0.345 1
F2 F 0.179 0.522 0.141 1
F3 F 0.424 0.140 0.170 1
F4 F 0.446 0.202 0.395 1
# Size of the total moment = 0.04 μB per atom
# Formation energy (no corrections) = -3.48 eV/atom
# Volume = 13.224 Å³ per atom
# Density of states at the Fermi level = 2.679 states/eV per atom
# Distance to the lowest polymorph of the same formula = 29 meV per atom



Record 8
# YbBeF4 | Alexandria via LeMat-Bulk | GGA-PBE | optimized geometry
data_YbBeF4
_cell_length_a 5.413
_cell_length_b 7.936
_cell_length_c 8.265
_cell_angle_alpha 95.38
_cell_angle_beta 106.26
_cell_angle_gamma 95.69
_space_group_name_H-M_alt 'P -1'
_space_group_IT_number 2
loop_
_space_group_symop_operation_xyz
'x,y,z'
'-x,-y,-z'
loop_
_atom_site_label
_atom_site_type_symbol
_atom_site_fract_x
_atom_site_fract_y
_atom_site_fract_z
_atom_site_occupancy
Yb1 Yb 0.210 0.066 0.366 1
Yb2 Yb 0.233 0.627 0.419 1
Be1 Be 0.191 0.298 0.985 1
Be2 Be 0.247 0.646 0.884 1
F1 F 0.016 0.754 0.909 1
F2 F 0.053 0.217 0.804 1
F3 F 0.138 0.866 0.557 1
F4 F 0.169 0.558 0.699 1
F5 F 0.247 0.502 0.006 1
F6 F 0.358 0.356 0.389 1
F7 F 0.473 0.244 0.062 1
F8 F 0.481 0.855 0.366 1
# Size of the total moment = 0.00 μB per atom
# Formation energy (no corrections) = -3.42 eV/atom
# Volume = 14.017 Å³ per atom
# Density of states at the Fermi level = 2.694 states/eV per atom
# Distance to the lowest polymorph of the same formula = 90 meV per atom